# 1
A plane-wave DFT calculation with PBE was carried out for a relaxed ZrBeSi2 crystal.

As for the calculated total energy: -22.7 eV per formula unit. As for the density of states at the Fermi level: 2.03 states/eV/f.u. For the uncorrected formation energy, the calculation gives 0.106 eV/atom.

It has space group R-3m (No. 166, hexagonal axes), with a = 2.9984 Å, b = 2.9984 Å, c = 24.0799 Å, α = 90.00°, β = 90.00° and γ = 120.00°. The inequivalent atoms are Zr at (0.0000, 0.0000, 0.0000), Be at (0.0000, 0.0000, 0.5000) and Si at (0.0000, 0.0000, 0.2375).

# 2
A plane-wave DFT calculation with PBE was carried out for a relaxed ZrBe3Si crystal.

As for the calculated total energy: -15.6 eV per formula unit. For the energy above the lowest structure with this stoichiometry, the calculation gives 655 kJ/mol of formula units. As for the density of states at the Fermi level: 5.56 states/eV/f.u. For the uncorrected formation energy, the calculation gives 1.904 eV/atom.

It has space group Pm-3m (No. 221), with a = 4.6494 Å, b = 4.6494 Å, c = 4.6494 Å, α = 90.00°, β = 90.00° and γ = 90.00°. The inequivalent atoms are Zr at (0.0000, 0.0000, 0.0000), Be at (0.0000, 0.0000, 0.5000) and Si at (0.5000, 0.5000, 0.5000).

# 3
A plane-wave DFT calculation with PBE was carried out for a relaxed ZrBe2Si crystal.

As for the calculated total energy: -21.9 eV per formula unit. As for the density of states at the Fermi level: 1.80 states/eV/f.u. For the uncorrected formation energy, the calculation gives -0.111 eV/atom.

It has space group Pmm2 (No. 25), with a = 3.4735 Å, b = 3.7589 Å, c = 4.4549 Å, α = 90.00°, β = 90.00° and γ = 90.00°. The inequivalent atoms are Zr at (0.0000, 0.0000, 0.0000), Be at (0.5000, 0.0000, 0.5091), Be at (0.5000, 0.5000, 0.7483) and Si at (0.5000, 0.5000, 0.2423).

# 4
A plane-wave DFT calculation with PBE was carried out for a relaxed ZrBe2Si crystal.

As for the calculated total energy: -21.5 eV per formula unit. As for the density of states at the Fermi level: 2.01 states/eV/f.u. For the uncorrected formation energy, the calculation gives -0.016 eV/atom.

It has space group I4/mmm (No. 139), with a = 3.7433 Å, b = 3.7433 Å, c = 7.8594 Å, α = 90.00°, β = 90.00° and γ = 90.00°. The inequivalent atoms are Zr at (0.0000, 0.0000, 0.0000), Be at (0.0000, 0.5000, 0.2500) and Si at (0.0000, 0.0000, 0.5000).

# 5
A plane-wave DFT calculation with PBE was carried out for a relaxed SmBe13 crystal.

As for the calculated total energy: -55.7 eV per formula unit. As for the density of states at the Fermi level: 3.22 states/eV/f.u.

It has space group Fm-3c (No. 226), with a = 10.2556 Å, b = 10.2556 Å, c = 10.2556 Å, α = 90.00°, β = 90.00° and γ = 90.00°. The inequivalent atoms are Sm at (0.2500, 0.2500, 0.2500), Be at (0.0000, 0.0000, 0.0000) and Be at (0.0000, 0.1130, 0.1762).

# 6
A plane-wave DFT calculation with PBE was carried out for a relaxed SmBe crystal.

As for the calculated total energy: -8.4 eV per formula unit. As for the density of states at the Fermi level: 0.94 states/eV/f.u.

It has space group Cmcm (No. 63), with a = 4.8328 Å, b = 8.3958 Å, c = 4.0917 Å, α = 90.00°, β = 90.00° and γ = 90.00°. The inequivalent atoms are Sm at (0.0000, 0.1661, 0.2500) and Be at (0.0000, 0.4989, 0.2500).

# 7
A plane-wave DFT calculation with PBE was carried out for a relaxed SmBe4 crystal.

As for the calculated total energy: -7.9 eV per formula unit. As for the density of states at the Fermi level: 5.02 states/eV/f.u.

It has space group Pm-3m (No. 221), with a = 4.9988 Å, b = 4.9988 Å, c = 4.9988 Å, α = 90.00°, β = 90.00° and γ = 90.00°. The inequivalent atoms are Sm at (0.0000, 0.0000, 0.0000), Be at (0.0000, 0.0000, 0.5000) and Be at (0.5000, 0.5000, 0.5000).

# 8
A plane-wave DFT calculation with PBE was carried out for a relaxed SmBeSn crystal.

As for the calculated total energy: -13.9 eV per formula unit. As for the density of states at the Fermi level: 1.40 states/eV/f.u.

It has space group P-6m2 (No. 187), with a = 4.2257 Å, b = 4.2257 Å, c = 4.3014 Å, α = 90.00°, β = 90.00° and γ = 120.00°. The inequivalent atoms are Sm at (0.0000, 0.0000, 0.0000), Be at (0.3333, 0.6667, 0.5000) and Sn at (0.6667, 0.3333, 0.5000).